PmZnAg2O4, optimized geometry, DFT PBE; energy relative to the elements, uncorrected = -1.321 eV/atom; N(E_F) = 2.8 states/eV/cell; raw total energy = -5.2663 eV per atom; ρ = 7.19 g cm⁻³; spin magnetization = 0.000 Bohr magnetons per cell
1.0
-3.030 3.030 3.084
3.030 -3.030 3.084
3.030 3.030 -3.084
Pm Zn Ag O
1 1 2 4
Direct
0.000 0.000 0.000
0.500 0.500 0.000
0.250 0.750 0.500
0.750 0.250 0.500
0.107 0.465 0.000
0.465 0.107 0.000
0.535 0.535 0.641
0.893 0.893 0.359